P | VASP calculation (PBE-GGA) on TbHoMg after structural relaxation.

Cell: 3.424 5.390 9.457 Å, 90.00 90.05 90.00°
Space group P2_1 (No. 4)
Inequivalent atoms, fractional coordinates:
1 Tb 0.002 0.000 0.084 (multiplicity 2)
2 Ho 0.500 0.000 0.744 (multiplicity 2)
3 Mg 0.001 0.501 0.579 (multiplicity 2)


Q | VASP calculation (PBE-GGA) on TbHoMg after structural relaxation.

Cell: 3.431 5.350 5.383 Å, 90.00 90.00 90.00°
Space group Pmmm (No. 47)
Inequivalent atoms, fractional coordinates:
1 Tb 0.000 0.000 0.000 (multiplicity 1)
2 Ho 0.000 0.500 0.500 (multiplicity 1)
3 Mg 0.500 0.000 0.500 (multiplicity 1)


Most stable structure - P; separation to the second - 33.1 kJ/mol of atoms.


P | VASP calculation (PBE-GGA) on TbHoMg after structural relaxation.

Cell: 3.653 3.653 12.948 Å, 90.00 90.00 90.00°
Space group I4mm (No. 107)
Inequivalent atoms, fractional coordinates:
1 Tb 0.000 0.000 0.000 (multiplicity 2)
2 Ho 0.000 0.000 0.681 (multiplicity 2)
3 Mg 0.000 0.000 0.339 (multiplicity 2)


Q | VASP calculation (PBE-GGA) on TbHoMg after structural relaxation.

Cell: 5.7112 5.7112 9.6028 Å, 90.00 90.00 120.00°
Space group R3m (No. 160, hexagonal axes)
Inequivalent atoms, fractional coordinates:
1 Tb 0.0000 0.0000 0.0000 (multiplicity 3)
2 Ho 0.0000 0.0000 0.6302 (multiplicity 3)
3 Mg 0.0000 0.0000 0.3157 (multiplicity 3)


R | VASP calculation (PBE-GGA) on TbHoMg after structural relaxation.

Cell: 5.4317 5.4317 3.3753 Å, 90.00 90.00 120.00°
Space group P3m1 (No. 156)
Inequivalent atoms, fractional coordinates:
1 Tb 0.0000 0.0000 0.0000 (multiplicity 1)
2 Ho 0.3333 0.6667 0.5717 (multiplicity 1)
3 Mg 0.6667 0.3333 0.2953 (multiplicity 1)


Most stable structure - P; separation to the second - 7.9 kJ/mol of atoms.


P | VASP calculation (PBE-GGA) on TbHo6Mg after structural relaxation.

Cell: 11.589 5.277 8.601 Å, 90.00 112.81 90.00°
Space group C2/m (No. 12)
Inequivalent atoms, fractional coordinates:
1 Tb 0.000 0.000 0.000 (multiplicity 2)
2 Ho 0.009 0.500 0.727 (multiplicity 4)
3 Ho 0.225 0.000 0.382 (multiplicity 4)
4 Ho 0.249 0.500 0.142 (multiplicity 4)
5 Mg 0.000 0.000 0.500 (multiplicity 2)


Q | VASP calculation (PBE-GGA) on TbHo6Mg after structural relaxation.

Cell: 6.293 6.297 6.300 Å, 94.99 95.04 95.09°
Space group P-1 (No. 2)
Inequivalent atoms, fractional coordinates:
1 Tb 0.000 0.000 0.000 (multiplicity 1)
2 Ho 0.031 0.545 0.257 (multiplicity 2)
3 Ho 0.257 0.032 0.546 (multiplicity 2)
4 Ho 0.455 0.743 0.968 (multiplicity 2)
5 Mg 0.500 0.500 0.500 (multiplicity 1)


Most stable structure - P; separation to the second - 9.4 kJ/mol of atoms.


P | VASP calculation (PBE-GGA) on Tb3Ho4Mg after structural relaxation.

Cell: 25.444 3.377 5.842 Å, 90.00 95.72 90.00°
Space group C2/m (No. 12)
Inequivalent atoms, fractional coordinates:
1 Tb 0.000 0.000 0.000 (multiplicity 2)
2 Tb 0.150 0.000 0.215 (multiplicity 4)
3 Ho 0.102 0.000 0.695 (multiplicity 4)
4 Ho 0.218 0.500 0.737 (multiplicity 4)
5 Mg 0.000 0.500 0.500 (multiplicity 2)


Q | VASP calculation (PBE-GGA) on Tb3Ho4Mg after structural relaxation.

Cell: 11.202 7.083 6.169 Å, 90.00 90.00 90.00°
Space group Pmn2_1 (No. 31)
Inequivalent atoms, fractional coordinates:
1 Tb 0.000 0.128 0.000 (multiplicity 2)
2 Tb 0.244 0.122 0.342 (multiplicity 4)
3 Ho 0.000 0.378 0.524 (multiplicity 2)
4 Ho 0.000 0.625 0.006 (multiplicity 2)
5 Ho 0.245 0.626 0.350 (multiplicity 4)
6 Mg 0.000 0.874 0.510 (multiplicity 2)


Most stable structure - Q; separation to the second - 20.8 kJ/mol of atoms.


P | VASP calculation (PBE-GGA) on TbHo4Mg7 after structural relaxation.

Cell: 5.2904 5.2904 13.1818 Å, 90.00 90.00 120.00°
Space group P-3m1 (No. 164)
Inequivalent atoms, fractional coordinates:
1 Tb 0.0000 0.0000 0.0000 (multiplicity 1)
2 Ho 0.3333 0.6667 0.1626 (multiplicity 2)
3 Ho 0.3333 0.6667 0.4226 (multiplicity 2)
4 Mg 0.0000 0.0000 0.2628 (multiplicity 2)
5 Mg 0.0000 0.0000 0.5000 (multiplicity 1)
6 Mg 0.3333 0.6667 0.6814 (multiplicity 2)
7 Mg 0.3333 0.6667 0.9175 (multiplicity 2)


Q | VASP calculation (PBE-GGA) on TbHo4Mg7 after structural relaxation.

Cell: 11.516 5.632 11.521 Å, 90.00 115.95 90.00°
Space group C2/m (No. 12)
Inequivalent atoms, fractional coordinates:
1 Tb 0.000 0.000 0.000 (multiplicity 2)
2 Ho 0.070 0.500 0.322 (multiplicity 4)
3 Ho 0.164 0.000 0.778 (multiplicity 4)
4 Mg 0.000 0.500 0.000 (multiplicity 2)
5 Mg 0.125 0.000 0.492 (multiplicity 4)
6 Mg 0.202 0.500 0.923 (multiplicity 4)
7 Mg 0.243 0.500 0.677 (multiplicity 4)


Most stable structure - P; separation to the second - 17.0 kJ/mol of atoms.


P | VASP calculation (PBE-GGA) on Tb2Ho6Mg after structural relaxation.

Cell: 3.5302 3.5302 25.8401 Å, 90.00 90.00 120.00°
Space group P-6m2 (No. 187)
Inequivalent atoms, fractional coordinates:
1 Tb 0.0000 0.0000 0.1737 (multiplicity 2)
2 Ho 0.0000 0.0000 0.3944 (multiplicity 2)
3 Ho 0.6667 0.3333 0.0655 (multiplicity 2)
4 Ho 0.6667 0.3333 0.2858 (multiplicity 2)
5 Mg 0.6667 0.3333 0.5000 (multiplicity 1)


Q | VASP calculation (PBE-GGA) on Tb2Ho6Mg after structural relaxation.

Cell: 10.463 10.463 5.001 Å, 90.00 90.00 90.00°
Space group P4_2/mnm (No. 136)
Inequivalent atoms, fractional coordinates:
1 Tb 0.166 0.166 0.000 (multiplicity 4)
2 Ho 0.000 0.334 0.500 (multiplicity 8)
3 Ho 0.167 0.833 0.000 (multiplicity 4)
4 Mg 0.000 0.000 0.500 (multiplicity 2)


Most stable structure - Q; separation to the second - 4.0 kJ/mol of atoms.